(1)
# ScBiAu2Br

A geometry-optimized ScBiAu2Br structure (PBE-GGA, the Alexandria database).

Summary:
* formation energy (no corrections): 0.210 eV/atom
* SG: P4/mmm, No. 123

Cell lengths 5.3219, 5.8332, 5.3219 Å; angles 90.00, 90.00, 90.00 degrees
Last column: nearest neighbours and their distance in Å.
Fractional positions:
Au 0.5000 0.0000 0.0000  2 Bi 2.66
Au 0.0000 0.0000 0.5000  2 Bi 2.66
Br 0.5000 0.5000 0.5000  4 Sc 3.76, 8 Au 3.95
Bi 0.0000 0.0000 0.0000  4 Au 2.66, 2 Sc 2.92
Sc 0.0000 0.5000 0.0000  2 Bi 2.92

(2)
# CsTlAg2Cl4

A geometry-optimized CsTlAg2Cl4 structure (PBE-GGA, the Alexandria database).

Summary:
* formation energy (no corrections): -0.974 eV/atom
* SG: I222, No. 23

Cell lengths 7.7276, 7.0741, 7.0741 Å; angles 69.96, 56.89, 56.89 degrees
Last column: nearest neighbours and their distance in Å.
Fractional positions:
Cl 0.9780 0.4888 0.0970  1 Ag 2.38
Cl 0.4362 0.0970 0.4888  1 Ag 2.38
Cl 0.5638 0.5112 0.9030  1 Ag 2.38
Cl 0.0220 0.9030 0.5112  1 Ag 2.38
Cs 0.0000 0.0000 0.0000  8 Cl 3.52-3.65
Tl 0.5000 0.5000 0.5000  4 Cl 3.18
Ag 0.8117 0.6883 0.6883  2 Cl 2.38
Ag 0.1883 0.3117 0.3117  2 Cl 2.38

(3)
# TbScTiTl

A geometry-optimized TbScTiTl structure (PBE-GGA, the Alexandria database).

Summary:
* SG: F-43m, No. 216
* energy of formation: -0.004 eV per atom

Cell lengths 5.1454, 5.1454, 5.1454 Å; angles 60.00, 60.00, 60.00 degrees
Last column: nearest neighbours and their distance in Å.
Fractional positions:
Tl 0.7500 0.7500 0.7500  4 Tb 3.15, 4 Sc 3.15
Tb 0.0000 0.0000 0.0000  4 Tl 3.15, 4 Ti 3.15
Sc 0.5000 0.5000 0.5000  4 Tl 3.15, 4 Ti 3.15
Ti 0.2500 0.2500 0.2500  4 Tb 3.15, 4 Sc 3.15

(4)
# KNa2LaFe

A geometry-optimized KNa2LaFe structure (PBE-GGA, the Alexandria database).

Summary:
* SG: P4/mmm, No. 123
* energy of formation: 0.716 eV per atom

Cell lengths 6.7878, 4.4230, 6.7878 Å; angles 90.00, 90.00, 90.00 degrees
Last column: nearest neighbours and their distance in Å.
Fractional positions:
La 0.0000 0.0000 0.0000  2 Fe 2.21
Fe 0.0000 0.5000 0.0000  2 La 2.21
Na 0.0000 0.0000 0.5000  2 La 3.39
Na 0.5000 0.0000 0.0000  2 La 3.39
K 0.5000 0.5000 0.5000  8 Na 4.05, 2 K 4.42

(5)
# ZrTi2NiRh

A geometry-optimized ZrTi2NiRh structure (PBE-GGA, the Alexandria database).

Summary:
* SG: P4/mmm, No. 123
* energy of formation: 0.278 eV per atom

Cell lengths 4.3941, 4.3941, 4.9065 Å; angles 90.00, 90.00, 90.00 degrees
Last column: nearest neighbours and their distance in Å.
Fractional positions:
Ni 0.0000 0.0000 0.0000  4 Ti 2.20, 2 Zr 2.45
Zr 0.0000 0.0000 0.5000  2 Ni 2.45
Rh 0.5000 0.5000 0.5000  4 Zr 3.11, 8 Ti 3.29
Ti 0.0000 0.5000 0.0000  2 Ni 2.20
Ti 0.5000 0.0000 0.0000  2 Ni 2.20

(6)
# HfTc2B2

A geometry-optimized HfTc2B2 structure (PBE-GGA, the Alexandria database).

Summary:
* SG: I4/mmm, No. 139
* ΔE to the lowest computed polymorph: 138 kJ/mol of formula units
* energy of formation: -0.108 eV per atom

Cell lengths 4.0420, 4.0420, 4.9241 Å; angles 65.77, 65.77, 90.00 degrees
Last column: nearest neighbours and their distance in Å.
Fractional positions:
Hf 0.0000 0.0000 0.0000  2 Tc 2.73, 8 B 2.85
Tc 0.3406 0.3406 0.3189  4 B 2.15
Tc 0.6594 0.6594 0.6811  4 B 2.15
B 0.7500 0.2500 0.5000  4 Tc 2.15
B 0.2500 0.7500 0.5000  4 Tc 2.15

(7)
# SrPaTlO5

A geometry-optimized SrPaTlO5 structure (PBE-GGA, the Alexandria database).

Summary:
* formation energy (no corrections): -2.517 eV/atom
* SG: C2/c, No. 15

Cell lengths 6.4241, 6.4241, 8.3261 Å; angles 105.86, 105.86, 104.98 degrees
Last column: nearest neighbours and their distance in Å.
Fractional positions:
Pa 0.0000 0.0000 0.0000  6 O 2.12-2.26
Pa 0.0000 0.0000 0.5000  6 O 2.12-2.26
O 0.3244 0.2771 0.1051  1 Pa 2.12, 1 Tl 2.16
O 0.1382 0.7115 0.9307  1 Tl 2.15, 1 Pa 2.26
O 0.7115 0.1382 0.4307  1 Tl 2.15, 1 Pa 2.26
O 0.6756 0.7229 0.8949  1 Pa 2.12, 1 Tl 2.16
O 0.9363 0.0637 0.7500  2 Pa 2.18
O 0.8618 0.2885 0.0693  1 Tl 2.15, 1 Pa 2.26
O 0.2885 0.8618 0.5693  1 Tl 2.15, 1 Pa 2.26
O 0.7229 0.6756 0.3949  1 Pa 2.12, 1 Tl 2.16
O 0.0637 0.9363 0.2500  2 Pa 2.18
O 0.2771 0.3244 0.6051  1 Pa 2.12, 1 Tl 2.16
Tl 0.6784 0.3216 0.2500  4 O 2.15-2.16
Tl 0.3216 0.6784 0.7500  4 O 2.15-2.16
Sr 0.3165 0.6835 0.2500  5 O 2.58-2.67
Sr 0.6835 0.3165 0.7500  5 O 2.58-2.67

(8)
# NdSmYEr3

A geometry-optimized NdSmYEr3 structure (PBE-GGA, the Alexandria database).

Summary:
* SG: Cmcm, No. 63
* energy of formation: 0.116 eV per atom

Cell lengths 5.8728, 6.3413, 11.7570 Å; angles 90.00, 90.00, 117.58 degrees
Last column: nearest neighbours and their distance in Å.
Fractional positions:
Er 0.6715 0.3429 0.0034  3 Er 3.40-3.43, 1 Y 3.45, 2 Sm 3.50-3.53, 3 Nd 3.51-3.69
Er 0.3285 0.6571 0.9966  3 Er 3.40-3.43, 1 Y 3.45, 2 Sm 3.50-3.53, 3 Nd 3.51-3.69
Er 0.1701 0.3401 0.7500  2 Er 3.40, 2 Y 3.42, 3 Sm 3.48-3.75, 2 Nd 3.51
Er 0.8299 0.6599 0.2500  2 Er 3.40, 2 Y 3.42, 3 Sm 3.48-3.75, 2 Nd 3.51
Er 0.3285 0.6571 0.5034  3 Er 3.40-3.43, 1 Y 3.45, 2 Sm 3.50-3.53, 3 Nd 3.51-3.69
Er 0.6715 0.3429 0.4966  3 Er 3.40-3.43, 1 Y 3.45, 2 Sm 3.50-3.53, 3 Nd 3.51-3.69
Nd 0.0000 0.0000 0.0000  8 Er 3.51-3.69, 2 Y 3.53
Nd 0.0000 0.0000 0.5000  8 Er 3.51-3.69, 2 Y 3.53
Sm 0.4968 0.9936 0.2500  7 Er 3.48-3.75, 3 Y 3.55-3.63
Sm 0.5032 0.0064 0.7500  7 Er 3.48-3.75, 3 Y 3.55-3.63
Y 0.8262 0.6525 0.7500  4 Er 3.42-3.45, 2 Nd 3.53, 3 Sm 3.55-3.63
Y 0.1738 0.3475 0.2500  4 Er 3.42-3.45, 2 Nd 3.53, 3 Sm 3.55-3.63

(9)
# ZnCdIrO6

A geometry-optimized ZnCdIrO6 structure (PBE-GGA, the Alexandria database).

Summary:
* formation energy (no corrections): -0.696 eV/atom
* SG: P-31c, No. 163

Cell lengths 5.2774, 5.2774, 9.3404 Å; angles 90.00, 90.00, 120.00 degrees
Last column: nearest neighbours and their distance in Å.
Fractional positions:
O 0.3788 0.0238 0.1362  1 Ir 1.90, 1 Zn 2.07
O 0.0238 0.6450 0.8638  1 Ir 1.90, 1 Zn 2.07
O 0.9762 0.6212 0.3638  1 Ir 1.90, 1 Zn 2.07
O 0.9762 0.3550 0.1362  1 Ir 1.90, 1 Zn 2.07
O 0.3550 0.3788 0.8638  1 Ir 1.90, 1 Zn 2.07
O 0.3788 0.3550 0.3638  1 Ir 1.90, 1 Zn 2.07
O 0.0238 0.3788 0.6362  1 Ir 1.90, 1 Zn 2.07
O 0.6450 0.6212 0.1362  1 Ir 1.90, 1 Zn 2.07
O 0.3550 0.9762 0.6362  1 Ir 1.90, 1 Zn 2.07
O 0.6212 0.6450 0.6362  1 Ir 1.90, 1 Zn 2.07
O 0.6450 0.0238 0.3638  1 Ir 1.90, 1 Zn 2.07
O 0.6212 0.9762 0.8638  1 Ir 1.90, 1 Zn 2.07
Ir 0.6667 0.3333 0.2500  6 O 1.90
Ir 0.3333 0.6667 0.7500  6 O 1.90
Zn 0.6667 0.3333 0.7500  6 O 2.07
Zn 0.3333 0.6667 0.2500  6 O 2.07
Cd 0.0000 0.0000 0.5000  6 O 2.32
Cd 0.0000 0.0000 0.0000  6 O 2.32

(10)
# YAuI3

A geometry-optimized YAuI3 structure (PBE-GGA, the Alexandria database).

Summary:
* formation energy (no corrections): 0.004 eV/atom
* SG: Pm-3m, No. 221
* ΔE to the lowest computed polymorph: 229 kJ/mol of formula units

Cell lengths 5.6500, 5.6500, 5.6500 Å; angles 90.00, 90.00, 90.00 degrees
Last column: nearest neighbours and their distance in Å.
Fractional positions:
I 0.5000 0.0000 0.0000  2 Au 2.83
I 0.0000 0.5000 0.0000  2 Au 2.83
I 0.0000 0.0000 0.5000  2 Au 2.83
Y 0.5000 0.5000 0.5000  12 I 4.00
Au 0.0000 0.0000 0.0000  6 I 2.83

(11)
# PmAlGa2Ru2

A geometry-optimized PmAlGa2Ru2 structure (PBE-GGA, the Alexandria database).

Summary:
* SG: P4/mmm, No. 123
* energy of formation: -0.253 eV per atom

Cell lengths 4.4980, 4.4980, 5.6933 Å; angles 90.00, 90.00, 90.00 degrees
Last column: nearest neighbours and their distance in Å.
Fractional positions:
Ga 0.5000 0.5000 0.2581  4 Ru 2.69, 2 Ga 2.75-2.94
Ga 0.5000 0.5000 0.7419  4 Ru 2.69, 2 Ga 2.75-2.94
Al 0.0000 0.0000 0.0000  4 Ru 2.25
Ru 0.0000 0.5000 0.0000  2 Al 2.25
Ru 0.5000 0.0000 0.0000  2 Al 2.25
Pm 0.0000 0.0000 0.5000  2 Al 2.85

(12)
# MgZnCo

A geometry-optimized MgZnCo structure (PBE-GGA, the Alexandria database).

Summary:
* SG: P3m1, No. 156
* energy of formation: 0.066 eV per atom

Cell lengths 4.3006, 4.3006, 2.7129 Å; angles 90.00, 90.00, 120.00 degrees
Last column: nearest neighbours and their distance in Å.
Fractional positions:
Zn 0.3333 0.6667 0.7797  3 Co 2.50, 2 Zn 2.71, 3 Mg 2.76
Mg 0.6667 0.3333 0.3356  2 Mg 2.71, 6 Zn 2.76-2.91, 6 Co 2.77-2.90
Co 0.0000 0.0000 0.8847  3 Zn 2.50, 2 Co 2.71, 3 Mg 2.77

| no. | uncorrected energy (eV/atom) | DOS(E_F) (states/eV/f.u.) |
| --- | --- | --- |
| 1 | -3.48 | 5.3 |
| 2 | -3.01 | 0.0 |
| 3 | -5.31 | 4.3 |
| 4 | -2.71 | 3.1 |
| 5 | -7.22 | 7.1 |
| 6 | -8.92 | 5.1 |
| 7 | -7.31 | 0.0 |
| 8 | -4.82 | 12.8 |
| 9 | -5.23 | 3.3 |
| 10 | -2.87 | 6.0 |
| 11 | -5.77 | 2.2 |
| 12 | -3.26 | 2.1 |